CrFeRu after structural relaxation. Source: the Alexandria database, functional PBE-GGA.

a = 4.0009 Å, b = 4.0009 Å, c = 2.6065 Å
α = 90.00°, β = 90.00°, γ = 120.00°
Sites, in units of the cell vectors:
Cr 0.0000 0.0000 0.0000
Fe 0.6667 0.3333 0.0000
Ru 0.3333 0.6667 0.5000

Values from the calculation:
**Uncorrected energy**: -9.0256 eV/atom
**Space-group type**: P-6m2, No. 187
**Mass density**: 9.601 g cm⁻³
**Calculated formation energy**: 0.095 eV per atom